[1]
Density functional theory data (PBE) for LuSb5 after structural relaxation.

## Properties
The total energy comes out at -4.338 eV per atom. Its uncorrected formation energy is -150 meV per atom. The calculation puts the volume at 27.75 Å³/atom. As for the spin magnetization: 0.0 Bohr magnetons per cell.

a b c (Å): 4.6719 4.2651 8.6252
angles (deg): 104.31 90.00 90.00
Sites, in units of the cell vectors:
Sb (0.0000, 0.6516, 0.3032)
Sb (0.5000, 0.8482, 0.6963)
Sb (0.5000, 0.1518, 0.3037)
Sb (0.5000, 0.5000, 0.0000)
Sb (0.0000, 0.3484, 0.6968)
Lu (0.0000, 0.0000, 0.0000)

---

[2]
Density functional theory data (PBE) for Ac6Pm3Ho2 after structural relaxation.

## Properties
The total energy comes out at -4.317 eV per atom. The calculation puts the volume at 39.31 Å³/atom. As for the spin magnetization: 0.0 Bohr magnetons per cell. For the formation energy, the calculation gives 51.7 meV/atom.

a b c (Å): 8.5376 6.6021 15.6986
angles (deg): 60.67 49.49 97.45
Sites, in units of the cell vectors:
Pm (0.0000, 0.0000, 0.0000)
Pm (0.8301, 0.5512, 0.3556)
Pm (0.1699, 0.4488, 0.6444)
Ac (0.9156, 0.2645, 0.1810)
Ac (0.6351, 0.0870, 0.7348)
Ac (0.2817, 0.1857, 0.4506)
Ac (0.3649, 0.9130, 0.2652)
Ac (0.7183, 0.8143, 0.5494)
Ac (0.0844, 0.7355, 0.8190)
Ho (0.4604, 0.6465, 0.0863)
Ho (0.5396, 0.3535, 0.9137)

---

[3]
Density functional theory data (PBE) for NaLi2CoCu after structural relaxation.

## Properties
The total energy comes out at -2.453 eV per atom. The calculation puts the volume at 22.53 Å³/atom. As for the spin magnetization: 1.8 Bohr magnetons per cell. For the formation energy, the calculation gives 816.3 meV/atom.

a b c (Å): 4.6735 5.1571 4.6735
angles (deg): 90.00 90.00 90.00
Sites, in units of the cell vectors:
Na (0.0000, 0.5000, 0.0000)
Cu (0.0000, 0.0000, 0.0000)
Co (0.5000, 0.5000, 0.5000)
Li (0.5000, 0.0000, 0.0000)
Li (0.0000, 0.0000, 0.5000)

---

What did the third record say?
Density functional theory data (PBE) for NaLi2CoCu after structural relaxation.

## Properties
The total energy comes out at -2.453 eV per atom. The calculation puts the volume at 22.53 Å³/atom. As for the spin magnetization: 1.8 Bohr magnetons per cell. For the formation energy, the calculation gives 816.3 meV/atom.

a b c (Å): 4.6735 5.1571 4.6735
angles (deg): 90.00 90.00 90.00
Sites, in units of the cell vectors:
Na (0.0000, 0.5000, 0.0000)
Cu (0.0000, 0.0000, 0.0000)
Co (0.5000, 0.5000, 0.5000)
Li (0.5000, 0.0000, 0.0000)
Li (0.0000, 0.0000, 0.5000)